Version P
Entry from Alexandria via LeMat-Bulk: crystalline Ba2YSc2 at its relaxed geometry (PBE).

It has space group P4/mbm (No. 127), with a = 9.9617 Å, b = 9.9617 Å, c = 3.7832 Å, α = 90.00°, β = 90.00° and γ = 90.00°. Symmetry generates all atoms from Ba at (0.1838, 0.3162, 0.0000), Y at (0.0000, 0.0000, 0.5000) and Sc at (0.1106, 0.6106, 0.5000).

As for the total magnetization: 0.15 μB per atom.

---

Version Q
Entry from Alexandria via LeMat-Bulk: crystalline Ba2YSc2 at its relaxed geometry (PBE).

It has space group I4/mmm (No. 139), with a = 4.7624 Å, b = 4.7624 Å, c = 16.6178 Å, α = 90.00°, β = 90.00° and γ = 90.00°. Symmetry generates all atoms from Ba at (0.0000, 0.5000, 0.2500), Y at (0.0000, 0.0000, 0.0000) and Sc at (0.0000, 0.0000, 0.4181).

As for the total magnetization: 0.00 μB per atom.

---

Which is the most stable structure? version P is the most stable.